Record 1
The following is a PBE calculation of a geometry-optimized CdRe2Au structure, from Alexandria via LeMat-Bulk.

a b c (Å): 5.418 5.418 5.418
angles (deg): 145.88 127.43 64.17
Element x y z (fractional)
Re1 0.973 0.973 0.000
Re2 0.772 0.272 0.500
Au1 0.511 0.511 0.000
Cd1 0.244 0.744 0.500

Values from the calculation:
size of the total moment = 0.000 μB per cell
space-group type = Imm2 (44)
energy of formation from the pure elements = 0.5984 eV per atom


Record 2
The following is a PBE calculation of a geometry-optimized SnB2SeS structure, from Alexandria via LeMat-Bulk.

a b c (Å): 4.012 5.861 4.012
angles (deg): 90.00 90.00 90.00
Element x y z (fractional)
S1 0.000 0.000 0.000
B1 0.000 0.000 0.500
B2 0.500 0.000 0.000
Sn1 0.000 0.500 0.000
Se1 0.500 0.500 0.500

Values from the calculation:
formation energy from raw total energies = 1.227 eV/atom
size of the total moment = 0.000 μB per cell
space-group type = P4/mmm (123)


Record 3
The following is a PBE calculation of a geometry-optimized SmLuOsPd structure, from Alexandria via LeMat-Bulk.

a b c (Å): 4.880 4.880 4.880
angles (deg): 60.00 60.00 60.00
Element x y z (fractional)
Lu1 0.000 0.000 0.000
Os1 0.750 0.750 0.750
Pd1 0.250 0.250 0.250
Sm1 0.500 0.500 0.500

Values from the calculation:
size of the total moment = 0.000 μB per cell
space-group type = F-43m (216)
energy of formation from the pure elements = -0.5080 eV per atom


Record 4
The following is a PBE calculation of a geometry-optimized SiS structure, from Alexandria via LeMat-Bulk.

a b c (Å): 4.728 3.343 5.704
angles (deg): 90.00 106.98 90.00
Element x y z (fractional)
S1 0.739 0.000 0.626
S2 0.119 0.500 0.280
Si1 0.424 0.000 0.216
Si2 0.085 0.500 0.684

Values from the calculation:
formation energy from raw total energies = -0.067 eV/atom
size of the total moment = 0.000 μB per cell
space-group type = Pm (6)


Record 5
The following is a PBE calculation of a geometry-optimized Zn2AgHg structure, from Alexandria via LeMat-Bulk.

a b c (Å): 10.824 10.824 10.824
angles (deg): 15.24 15.24 15.24
Element x y z (fractional)
Ag1 0.250 0.250 0.250
Hg1 0.750 0.750 0.750
Zn1 0.990 0.990 0.990
Zn2 0.510 0.510 0.510

Values from the calculation:
size of the total moment = 0.000 μB per cell
space-group type = R-3m (166)
energy of formation from the pure elements = 0.0932 eV per atom